No. 1
## FeSiMo2 (PBE)

Data for a geometry-optimized FeSiMo2 structure.

Unit cell a=4.830 b=4.830 c=2.712 alpha=97.78 beta=97.78 gamma=114.53
Element x y z (fractional)
Fe 0.000 0.000 0.000
Si 0.500 0.500 0.000
Mo 0.000 0.500 0.500
Mo 0.500 0.000 0.500

Output
**E_form (uncorrected)**: -17 meV per atom
**DFT total energy**: -8.904 eV per atom

=====

No. 2
## FeSi2Mo2 (PBE)

Data for a geometry-optimized FeSi2Mo2 structure.

Unit cell a=5.891 b=5.891 c=3.875 alpha=90.00 beta=90.00 gamma=90.00
Element x y z (fractional)
Fe 0.000 0.000 0.000
Fe 0.500 0.500 0.000
Si 0.141 0.359 0.000
Si 0.359 0.859 0.000
Si 0.641 0.141 0.000
Si 0.859 0.641 0.000
Mo 0.168 0.668 0.500
Mo 0.332 0.168 0.500
Mo 0.668 0.832 0.500
Mo 0.832 0.332 0.500

Output
**E_form (uncorrected)**: -290 meV per atom
**DFT total energy**: -8.484 eV per atom